The following is a DFT calculation (PBE-GGA) of GaSb2TePd after structural relaxation.

Structure (extended XYZ):
```
5
Lattice="-0.2954 0.8167 5.1385 1.0304 -5.0357 0.8596 5.2325 1.0924 0.1272" Properties=species:S:1:pos:R:3 pbc="T T T"
Sb 0.5152 -2.5178 0.4298
Sb -0.1477 0.4083 2.5693
Te 2.6163 0.5462 0.0636
Pd 2.9837 -1.5633 3.0627
Ga 0.0000 0.0000 0.0000
```

Calculated values
Its formation energy without anion corrections is 0.742 eV per atom. The distance to the lowest polymorph of the same formula is 434 meV per atom. As for the space group: P4/mmm. For the volume, the calculation gives 29.043 Å³ per atom. The value obtained for the total energy is -3.18 eV per atom.

The following is a DFT calculation (PBE-GGA) of Li8SiPb2 after structural relaxation.

Structure (extended XYZ):
```
11
Lattice="-1.3989 3.5506 -2.5486 -3.9535 -3.4072 -2.5767 -3.6648 0.5634 6.9281" Properties=species:S:1:pos:R:3 pbc="T T T"
Li -7.1250 0.5875 0.5979
Li -3.2076 1.3093 3.5847
Li -3.1717 0.7778 -1.3070
Li -3.2614 -2.4821 -1.6678
Li -1.8922 0.1194 1.2050
Li -5.8456 -0.0709 3.1099
Li -5.8097 -0.6024 -1.7818
Li -5.7559 3.1890 3.4707
Pb -4.6744 1.9309 1.1243
Pb -4.3429 -1.2240 0.6786
Si -0.6995 1.7753 -1.2743
```

Calculated values
Its formation energy without anion corrections is -0.237 eV per atom. As for the space group: C2/m. For the volume, the calculation gives 18.116 Å³ per atom. The value obtained for the total energy is -2.80 eV per atom.

The following is a DFT calculation (PBE-GGA) of CsCr6Se8 after structural relaxation.

Structure (extended XYZ):
```
15
Lattice="7.1091 0.1464 -0.0800 -0.0825 7.1101 -0.0800 0.1418 0.1464 7.1081" Properties=species:S:1:pos:R:3 pbc="T T T"
Se 4.2085 6.2725 1.9174
Se 2.1077 4.4082 6.0710
Se 1.9070 1.9694 1.8484
Se 2.9598 1.1304 5.0308
Se 5.0606 2.9947 0.8772
Se 6.2033 2.2485 4.1466
Se 0.9650 5.1544 2.8015
Se 5.2613 5.4335 5.0997
Cr 4.1206 1.5965 2.7921
Cr 5.6666 4.4338 2.9166
Cr 2.8363 4.1698 1.3752
Cr 1.5017 2.9691 4.0315
Cr 3.0477 5.8064 4.1560
Cr 4.3320 3.2331 5.5729
Cs 0.0000 0.0000 0.0000
```

Calculated values
Its formation energy without anion corrections is -0.509 eV per atom. As for the space group: R-3. For the volume, the calculation gives 23.969 Å³ per atom. The value obtained for the total energy is -6.27 eV per atom.